(1)
{"formula": "Er6Tm2Th", "functional": "PBE", "state": "optimized geometry", "lattice": [[5.544, -2.491, 0.000], [5.544, 2.491, 0.000], [-3.301, 0.000, 10.018]], "species": ["Er", "Er", "Er", "Er", "Er", "Er", "Tm", "Tm", "Th"], "frac_coords": [[0.165, 0.165, 0.221], [0.165, 0.165, 0.889], [0.167, 0.167, 0.555], [0.833, 0.833, 0.445], [0.835, 0.835, 0.111], [0.835, 0.835, 0.779], [0.499, 0.499, 0.666], [0.501, 0.501, 0.334], [0.500, 0.500, 0.000]], "dos_ef_per_ev_atom": 1.52, "crystal_system": "monoclinic", "formation_energy_ev_per_atom": 0.0343, "magnetic_moment_mub_per_atom": 0.000, "spacegroup": "C2/m (12)"}


(2)
{"formula": "Ba2InRe", "functional": "PBE", "state": "optimized geometry", "lattice": [[4.328, -1.606, 0.000], [4.328, 1.606, 0.000], [-0.780, 0.000, 9.628]], "species": ["Ba", "Ba", "In", "Re"], "frac_coords": [[0.246, 0.246, 0.211], [0.754, 0.754, 0.789], [0.000, 0.000, 0.500], [0.500, 0.500, 0.000]], "dos_ef_per_ev_atom": 1.14, "crystal_system": "monoclinic", "formation_energy_ev_per_atom": 0.9226, "magnetic_moment_mub_per_atom": 0.002, "spacegroup": "C2/m (12)"}


(3)
{"formula": "ZrPdRh", "functional": "PBE", "state": "optimized geometry", "lattice": [[2.553, -4.771, 0.000], [2.553, 4.771, 0.000], [-2.488, 0.000, 4.197]], "species": ["Zr", "Zr", "Pd", "Pd", "Rh", "Rh"], "frac_coords": [[0.126, 0.874, 0.500], [0.874, 0.126, 0.000], [0.251, 0.461, 0.679], [0.461, 0.251, 0.179], [0.552, 0.839, 0.352], [0.839, 0.552, 0.852]], "dos_ef_per_ev_atom": 0.52, "crystal_system": "monoclinic", "formation_energy_ev_per_atom": -0.6912, "magnetic_moment_mub_per_atom": 0.000, "spacegroup": "Cc (9)"}


(4)
{"formula": "TePtCl", "functional": "PBE", "state": "optimized geometry", "lattice": [[3.874, 0.000, 0.000], [-1.937, 3.355, 0.000], [0.000, 0.000, 5.662]], "species": ["Te", "Pt", "Cl"], "frac_coords": [[0.000, 0.000, 0.000], [0.667, 0.333, 0.756], [0.333, 0.667, 0.485]], "dos_ef_per_ev_atom": 0.74, "crystal_system": "trigonal", "formation_energy_uncorrected_ev_per_atom": -0.267, "magnetic_moment_mub_per_atom": 0.000, "spacegroup": "P3m1 (156)"}


(5)
{"formula": "LaNd7Y2", "functional": "PBE", "state": "optimized geometry", "lattice": [[4.412, -8.395, 0.000], [4.412, 8.395, 0.000], [0.000, 0.000, 5.732]], "species": ["La", "Nd", "Nd", "Nd", "Nd", "Nd", "Nd", "Nd", "Y", "Y"], "frac_coords": [[0.000, 0.000, 0.000], [0.065, 0.292, 0.500], [0.219, 0.781, 0.000], [0.292, 0.065, 0.500], [0.500, 0.500, 0.500], [0.708, 0.935, 0.500], [0.781, 0.219, 0.000], [0.935, 0.708, 0.500], [0.294, 0.706, 0.500], [0.706, 0.294, 0.500]], "dos_ef_per_ev_atom": 1.61, "crystal_system": "orthorhombic", "formation_energy_ev_per_atom": 0.6393, "magnetic_moment_mub_per_atom": 0.000, "spacegroup": "Cmmm (65)"}


(6)
{"formula": "Nd2Al2Os2C", "functional": "PBE", "state": "optimized geometry", "lattice": [[5.667, -2.131, 0.000], [5.667, 2.131, 0.000], [-4.686, 0.000, 5.658]], "species": ["Nd", "Nd", "Al", "Al", "Os", "Os", "C"], "frac_coords": [[0.060, 0.060, 0.330], [0.940, 0.940, 0.670], [0.340, 0.340, 0.895], [0.660, 0.660, 0.105], [0.303, 0.303, 0.199], [0.697, 0.697, 0.801], [0.500, 0.500, 0.500]], "dos_ef_per_ev_atom": 0.52, "crystal_system": "monoclinic", "formation_energy_ev_per_atom": -0.4226, "magnetic_moment_mub_per_atom": 0.000, "spacegroup": "C2/m (12)"}